(1)
## Nb3CoRh (PBE)

Data for a relaxed structure of Nb3CoRh.

Lattice parameters (Å, degrees): 4.764 4.764 4.764 90.00 90.00 90.00
Positions (direct):
Nb 0.000 0.000 0.500
Nb 0.000 0.500 0.000
Nb 0.500 0.000 0.000
Co 0.500 0.500 0.500
Rh 0.000 0.000 0.000

SG = No. 221

***

(2)
## Nb3CoRh (PBE)

Data for a relaxed structure of Nb3CoRh.

Lattice parameters (Å, degrees): 4.535 4.535 4.535 90.00 90.00 90.00
Positions (direct):
Nb 0.000 0.000 0.500
Nb 0.000 0.500 0.000
Nb 0.500 0.000 0.000
Co 0.000 0.000 0.000
Rh 0.500 0.500 0.500

SG = No. 221

***

The calculated energies rank the structures as follows, beginning with the most stable: (2), (1).

***

(1)
## NbCo2Rh2 (PBE)

Data for a relaxed structure of NbCo2Rh2.

Lattice parameters (Å, degrees): 7.055 7.055 2.775 90.00 90.00 90.00
Positions (direct):
Nb 0.000 0.000 0.000
Nb 0.500 0.500 0.000
Co 0.122 0.378 0.000
Co 0.378 0.878 0.000
Co 0.622 0.122 0.000
Co 0.878 0.622 0.000
Rh 0.174 0.674 0.500
Rh 0.326 0.174 0.500
Rh 0.674 0.826 0.500
Rh 0.826 0.326 0.500

SG = No. 127

***

(2)
## NbCo2Rh2 (PBE)

Data for a relaxed structure of NbCo2Rh2.

Lattice parameters (Å, degrees): 7.125 7.125 2.753 90.00 90.00 90.00
Positions (direct):
Nb 0.000 0.000 0.000
Nb 0.500 0.500 0.000
Co 0.167 0.333 0.500
Co 0.333 0.833 0.500
Co 0.667 0.167 0.500
Co 0.833 0.667 0.500
Rh 0.131 0.631 0.000
Rh 0.369 0.131 0.000
Rh 0.631 0.869 0.000
Rh 0.869 0.369 0.000

SG = No. 127

***

The calculated energies rank the structures as follows, beginning with the most stable: (1), (2).

***

(1)
## NbCo2Ru (PBE)

Data for a relaxed structure of NbCo2Ru.

Lattice parameters (Å, degrees): 3.753 3.753 3.716 90.00 90.00 90.00
Positions (direct):
Nb 0.000 0.000 0.000
Co 0.000 0.500 0.500
Co 0.500 0.000 0.500
Ru 0.500 0.500 0.000

SG = No. 123

***

(2)
## NbCo2Ru (PBE)

Data for a relaxed structure of NbCo2Ru.

Lattice parameters (Å, degrees): 4.246 4.246 4.246 60.00 60.00 60.00
Positions (direct):
Nb 0.000 0.000 0.000
Co 0.250 0.250 0.250
Co 0.750 0.750 0.750
Ru 0.500 0.500 0.500

SG = No. 225

***

(3)
## NbCo2Ru (PBE)

Data for a relaxed structure of NbCo2Ru.

Lattice parameters (Å, degrees): 9.162 9.162 9.162 157.08 157.08 32.64
Positions (direct):
Nb 0.000 0.000 0.000
Nb 0.750 0.250 0.500
Co 0.146 0.625 0.021
Co 0.375 0.396 0.521
Co 0.604 0.125 0.979
Co 0.875 0.854 0.479
Ru 0.250 0.750 0.500
Ru 0.500 0.500 0.000

SG = No. 122

***

The calculated energies rank the structures as follows, beginning with the most stable: (1), (2), (3).